DFT (GGA-PBE) results for crystalline PrPuAlPb at its relaxed geometry.

The calculated volume is 27.78 Å³/atom. The calculation puts the formation energy at -0.167 eV/atom.

a b c (Å): 7.631 7.631 7.631
angles (deg): 90.00 90.00 90.00
Space group F-43m (No. 216)
One atom of each set of equivalent atoms:
Pr: 0.000 0.000 0.000 [4 per cell]
Pu: 0.000 0.000 0.500 [4 per cell]
Al: 0.250 0.250 0.250 [4 per cell]
Pb: 0.250 0.250 0.750 [4 per cell]

DFT (GGA-PBE) results for crystalline MnCuTcGe at its relaxed geometry.

The calculated volume is 13.60 Å³/atom. The calculation puts the formation energy at 0.093 eV/atom.

a b c (Å): 6.014 6.014 6.014
angles (deg): 90.00 90.00 90.00
Space group F-43m (No. 216)
One atom of each set of equivalent atoms:
Mn: 0.000 0.000 0.000 [4 per cell]
Cu: 0.250 0.250 0.750 [4 per cell]
Tc: 0.250 0.250 0.250 [4 per cell]
Ge: 0.000 0.000 0.500 [4 per cell]

DFT (GGA-PBE) results for crystalline Cd2CoOs at its relaxed geometry.

The calculated volume is 17.91 Å³/atom. The calculation puts the formation energy at 1.022 eV/atom.

a b c (Å): 7.333 7.333 5.328
angles (deg): 90.00 90.00 90.00
Space group I-42d (No. 122)
One atom of each set of equivalent atoms:
Cd: 0.232 0.250 0.125 [8 per cell]
Co: 0.000 0.000 0.000 [4 per cell]
Os: 0.000 0.000 0.500 [4 per cell]

DFT (GGA-PBE) results for crystalline KCaTi3 at its relaxed geometry.

The calculated volume is 23.81 Å³/atom. The calculation puts the formation energy at 1.767 eV/atom.

a b c (Å): 4.919 4.919 4.919
angles (deg): 90.00 90.00 90.00
Space group Pm-3m (No. 221)
One atom of each set of equivalent atoms:
K: 0.000 0.000 0.000 [1 per cell]
Ca: 0.500 0.500 0.500 [1 per cell]
Ti: 0.000 0.000 0.500 [3 per cell]